This record from Alexandria via LeMat-Bulk describes a relaxed structure of FeNi5O6. The functional is GGA+U.

Lattice parameters (Å, degrees): 5.191 5.195 5.222 60.17 80.74 71.12
Atoms (fractional coordinates):
O1 0.255 0.572 0.341
Ni1 0.500 0.167 0.665
Ni2 0.500 0.500 0.000
O2 0.255 0.913 0.659
O3 0.749 0.749 0.000
O4 0.745 0.087 0.341
O5 0.745 0.428 0.659
Ni3 0.000 0.668 0.664
O6 0.251 0.251 0.000
Fe1 0.000 0.000 0.000
Ni4 0.000 0.332 0.336
Ni5 0.500 0.833 0.335

## Properties
Density of states at the Fermi level (states/eV per atom): 0.000
Total magnetization (μB/cell): 14.03
Electronic total energy (eV/atom): -5.1181